A) Entry from Alexandria: a relaxed structure of Ce2SiPb (GGA-PBE).

a b c (Å): 4.3714 4.8374 4.8374
angles (deg): 90.00 90.00 90.00
Last column: nearest neighbours and their distance in Å.
Sites, in units of the cell vectors:
Ce 0.0000 0.0000 0.5000  4 Pb 3.26, 4 Si 3.26, 4 Ce 3.42
Ce 0.0000 0.5000 0.0000  4 Pb 3.26, 4 Si 3.26, 4 Ce 3.42
Si 0.5000 0.5000 0.5000  8 Ce 3.26, 4 Pb 3.42
Pb 0.5000 0.0000 0.0000  8 Ce 3.26, 4 Si 3.42

Calculated values
SG: P4/mmm
Volume: 102.3 Å³/cell
Crystal system: tetragonal
DOS(E_F): 2.761 states/eV per atom
Size of the total moment: 1.581 μB/cell

***

B) Entry from Alexandria: a relaxed structure of Ce2SiPb (GGA-PBE).

a b c (Å): 3.4414 3.4414 8.6753
angles (deg): 90.00 90.00 90.00
Last column: nearest neighbours and their distance in Å.
Sites, in units of the cell vectors:
Si 0.5000 0.5000 0.0000  8 Ce 3.06
Ce 0.0000 0.0000 0.7865  4 Si 3.06
Ce 0.0000 0.0000 0.2135  4 Si 3.06
Pb 0.5000 0.5000 0.5000  4 Pb 3.44, 8 Ce 3.48

Calculated values
SG: P4/mmm
Volume: 102.7 Å³/cell
Crystal system: tetragonal
DOS(E_F): 2.623 states/eV per atom
Size of the total moment: 1.804 μB/cell

***

C) Entry from Alexandria: a relaxed structure of Ce2SiPb (GGA-PBE).

a b c (Å): 4.9222 4.9222 5.9662
angles (deg): 65.64 65.64 60.00
Last column: nearest neighbours and their distance in Å.
Sites, in units of the cell vectors:
Ce 0.2376 0.2376 0.2871  3 Si 3.05, 3 Pb 3.22
Ce 0.7624 0.7624 0.7129  3 Si 3.05, 3 Pb 3.22
Pb 0.0000 0.0000 0.0000  6 Ce 3.22
Si 0.5000 0.5000 0.5000  6 Ce 3.05

Calculated values
SG: R-3m
Volume: 110.1 Å³/cell
Crystal system: trigonal
DOS(E_F): 2.544 states/eV per atom
Size of the total moment: 1.021 μB/cell

***

Relative energies with respect to the most stable structure, expressed in meV/atom: A) 107; B) 0; C) 118.

***

A) Entry from Alexandria: a relaxed structure of CeSmPb (GGA-PBE).

a b c (Å): 4.3206 4.3206 9.9106
angles (deg): 90.00 90.00 90.00
Last column: nearest neighbours and their distance in Å.
Sites, in units of the cell vectors:
Pb 0.5000 0.0000 0.3998  1 Ce 3.25, 5 Sm 3.25-3.31
Pb 0.0000 0.5000 0.6002  1 Ce 3.25, 5 Sm 3.25-3.31
Ce 0.5000 0.0000 0.0721  1 Pb 3.25, 4 Ce 3.37, 1 Sm 3.41
Ce 0.0000 0.5000 0.9279  1 Pb 3.25, 4 Ce 3.37, 1 Sm 3.41
Sm 0.0000 0.5000 0.2721  5 Pb 3.25-3.31, 1 Ce 3.41
Sm 0.5000 0.0000 0.7279  5 Pb 3.25-3.31, 1 Ce 3.41

Calculated values
SG: P4/nmm
Volume: 185.0 Å³/cell
Crystal system: tetragonal
DOS(E_F): 2.080 states/eV per atom
Size of the total moment: 2.350 μB/cell

***

B) Entry from Alexandria: a relaxed structure of CeSmPb (GGA-PBE).

a b c (Å): 5.7348 3.5096 9.9556
angles (deg): 100.15 106.74 90.00
Last column: nearest neighbours and their distance in Å.
Sites, in units of the cell vectors:
Ce 0.7376 0.5000 0.0000  2 Ce 2.73-3.01
Ce 0.2624 0.5000 0.0000  2 Ce 2.73-3.01
Sm 0.3295 0.8295 0.6591  5 Pb 3.24-3.37, 2 Sm 3.51
Sm 0.6705 0.1705 0.3409  5 Pb 3.24-3.37, 2 Sm 3.51
Pb 0.8431 0.3431 0.6863  5 Sm 3.24-3.37, 2 Ce 3.30, 2 Pb 3.51
Pb 0.1569 0.6569 0.3137  5 Sm 3.24-3.37, 2 Ce 3.30, 2 Pb 3.51

Calculated values
SG: Immm
Volume: 188.6 Å³/cell
Crystal system: orthorhombic
DOS(E_F): 1.834 states/eV per atom
Size of the total moment: 1.937 μB/cell

***

Relative energies with respect to the most stable structure, expressed in meV/atom: A) 106; B) 0.

***

A) Entry from Alexandria: a relaxed structure of CeSm5Pb6 (GGA-PBE).

a b c (Å): 5.0633 9.0997 9.2883
angles (deg): 60.67 74.04 90.00
Last column: nearest neighbours and their distance in Å.
Sites, in units of the cell vectors:
Sm 0.3337 0.3335 0.3330  8 Pb 3.40-3.43, 4 Sm 3.59-3.61
Sm 0.0000 0.5000 0.0000  8 Pb 3.40-3.43, 4 Sm 3.59-3.61
Sm 0.6663 0.6665 0.6670  8 Pb 3.40-3.43, 4 Sm 3.59-3.61
Sm 0.3322 0.8326 0.3348  8 Pb 3.41-3.44, 2 Sm 3.59-3.60, 2 Ce 3.61
Sm 0.6678 0.1674 0.6652  8 Pb 3.41-3.44, 2 Sm 3.59-3.60, 2 Ce 3.61
Pb 0.8329 0.5825 0.3340  7 Sm 3.40-3.43, 1 Ce 3.43, 4 Pb 3.59-3.61
Pb 0.8328 0.0835 0.3340  7 Sm 3.40-3.43, 1 Ce 3.43, 4 Pb 3.59-3.61
Pb 0.5000 0.7492 0.0000  6 Sm 3.40-3.44, 2 Ce 3.41, 4 Pb 3.60-3.61
Pb 0.1671 0.4175 0.6660  7 Sm 3.40-3.43, 1 Ce 3.43, 4 Pb 3.59-3.61
Pb 0.5000 0.2507 0.0000  6 Sm 3.40-3.44, 2 Ce 3.41, 4 Pb 3.60-3.61
Pb 0.1672 0.9165 0.6660  7 Sm 3.40-3.43, 1 Ce 3.43, 4 Pb 3.59-3.61
Ce 0.0000 0.0000 0.0000  8 Pb 3.41-3.43, 4 Sm 3.61

Calculated values
SG: C2/m
Volume: 354.0 Å³/cell
Crystal system: monoclinic
DOS(E_F): 1.408 states/eV per atom
Size of the total moment: 2.183 μB/cell

***

B) Entry from Alexandria: a relaxed structure of CeSm5Pb6 (GGA-PBE).

a b c (Å): 8.7476 6.2607 8.5583
angles (deg): 68.55 79.22 59.24
Last column: nearest neighbours and their distance in Å.
Sites, in units of the cell vectors:
Sm 0.0000 0.6692 0.6616  6 Pb 3.26-3.29
Sm 0.5000 0.1634 0.6731  6 Pb 3.27-3.29
Sm 0.5000 0.5000 0.0000  6 Pb 3.27-3.28
Sm 0.0000 0.3308 0.3384  6 Pb 3.26-3.29
Sm 0.5000 0.8366 0.3269  6 Pb 3.27-3.29
Pb 0.7459 0.0869 0.3355  5 Sm 3.26-3.29, 1 Ce 3.32
Pb 0.2541 0.9131 0.6645  5 Sm 3.26-3.29, 1 Ce 3.32
Pb 0.7459 0.4223 0.6645  5 Sm 3.26-3.29, 1 Ce 3.32
Pb 0.2541 0.5777 0.3355  5 Sm 3.26-3.29, 1 Ce 3.32
Pb 0.2441 0.2600 0.0000  5 Sm 3.27-3.29, 1 Ce 3.28
Pb 0.7559 0.7400 0.0000  5 Sm 3.27-3.29, 1 Ce 3.28
Ce 0.0000 0.0000 0.0000  6 Pb 3.28-3.32

Calculated values
SG: C2/m
Volume: 374.9 Å³/cell
Crystal system: monoclinic
DOS(E_F): 1.294 states/eV per atom
Size of the total moment: 0.989 μB/cell

***

Relative energies with respect to the most stable structure, expressed in meV/atom: A) 0; B) 25.

***

A) Entry from Alexandria: a relaxed structure of CeSm3Pb2 (GGA-PBE).

a b c (Å): 4.6103 4.6103 8.8477
angles (deg): 90.00 90.00 90.00
Last column: nearest neighbours and their distance in Å.
Sites, in units of the cell vectors:
Pb 0.5000 0.0000 0.7176  7 Sm 3.26-3.40, 2 Ce 3.40
Pb 0.0000 0.5000 0.2824  7 Sm 3.26-3.40, 2 Ce 3.40
Sm 0.0000 0.5000 0.6509  5 Pb 3.26-3.31
Sm 0.5000 0.0000 0.3491  5 Pb 3.26-3.31
Sm 0.0000 0.0000 0.0000  4 Ce 3.26, 4 Pb 3.40
Ce 0.5000 0.5000 0.0000  4 Sm 3.26, 4 Pb 3.40

Calculated values
SG: P-4m2
Volume: 188.1 Å³/cell
Crystal system: tetragonal
DOS(E_F): 1.480 states/eV per atom
Size of the total moment: 0.600 μB/cell

***

B) Entry from Alexandria: a relaxed structure of CeSm3Pb2 (GGA-PBE).

a b c (Å): 7.6420 7.6532 9.1845
angles (deg): 114.62 114.58 90.00
Last column: nearest neighbours and their distance in Å.
Sites, in units of the cell vectors:
Ce 0.0000 0.5000 0.0000  2 Pb 3.22
Ce 0.0000 0.0000 0.0000  2 Pb 3.22
Pb 0.4604 0.6432 0.2864  6 Sm 3.18-3.24, 1 Ce 3.22
Pb 0.1740 0.8568 0.7136  6 Sm 3.18-3.24, 1 Ce 3.22
Pb 0.8260 0.1432 0.2864  6 Sm 3.18-3.24, 1 Ce 3.22
Pb 0.5396 0.3568 0.7136  6 Sm 3.18-3.24, 1 Ce 3.22
Sm 0.7903 0.0403 0.5806  4 Pb 3.22-3.24
Sm 0.2097 0.4597 0.4194  4 Pb 3.22-3.24
Sm 0.2097 0.9597 0.4194  4 Pb 3.22-3.24
Sm 0.7903 0.5403 0.5806  4 Pb 3.22-3.24
Sm 0.5000 0.2500 0.0000  4 Pb 3.18
Sm 0.5000 0.7500 0.0000  4 Pb 3.18

Calculated values
SG: Ibam
Volume: 434.2 Å³/cell
Crystal system: orthorhombic
DOS(E_F): 1.865 states/eV per atom
Size of the total moment: 4.706 μB/cell

***

Relative energies with respect to the most stable structure, expressed in meV/atom: A) 0; B) 267.

***

A) Entry from Alexandria: a relaxed structure of Ce6SnPb5 (GGA-PBE).

a b c (Å): 7.8674 7.8671 7.8676
angles (deg): 60.00 80.40 70.52
Last column: nearest neighbours and their distance in Å.
Sites, in units of the cell vectors:
Ce 0.7520 0.4132 0.6694  1 Sn 3.19, 5 Pb 3.21-3.22
Ce 0.7520 0.0825 0.3306  1 Sn 3.19, 5 Pb 3.21-3.22
Ce 0.7505 0.7528 0.0000  1 Sn 3.19, 5 Pb 3.22-3.23
Ce 0.2495 0.2472 0.0000  1 Sn 3.19, 5 Pb 3.22-3.23
Ce 0.2480 0.9175 0.6694  1 Sn 3.19, 5 Pb 3.21-3.22
Ce 0.2480 0.5868 0.3306  1 Sn 3.19, 5 Pb 3.21-3.22
Pb 0.5000 0.5000 0.0000  6 Ce 3.21-3.23
Pb 0.0000 0.6663 0.6673  6 Ce 3.21-3.22
Pb 0.0000 0.3337 0.3327  6 Ce 3.21-3.22
Pb 0.5000 0.1683 0.6633  6 Ce 3.21-3.22
Pb 0.5000 0.8317 0.3367  6 Ce 3.21-3.22
Sn 0.0000 0.0000 0.0000  6 Ce 3.19

Calculated values
SG: C2/m
Volume: 397.6 Å³/cell
Crystal system: monoclinic
DOS(E_F): 1.792 states/eV per atom
Size of the total moment: 1.423 μB/cell

***

B) Entry from Alexandria: a relaxed structure of Ce6SnPb5 (GGA-PBE).

a b c (Å): 5.0703 9.2229 9.2229
angles (deg): 111.14 105.95 105.95
Last column: nearest neighbours and their distance in Å.
Sites, in units of the cell vectors:
Ce 0.7531 0.9179 0.5882  1 Sn 3.37, 7 Pb 3.39-3.43, 4 Ce 3.57-3.63
Ce 0.7531 0.5882 0.9179  1 Sn 3.37, 7 Pb 3.39-3.43, 4 Ce 3.57-3.63
Ce 0.2469 0.0821 0.4118  1 Sn 3.37, 7 Pb 3.39-3.43, 4 Ce 3.57-3.63
Ce 0.2562 0.7562 0.7563  2 Sn 3.37, 6 Pb 3.40-3.45, 4 Ce 3.57
Ce 0.2469 0.4118 0.0821  1 Sn 3.37, 7 Pb 3.39-3.43, 4 Ce 3.57-3.63
Ce 0.7438 0.2438 0.2437  2 Sn 3.37, 6 Pb 3.40-3.45, 4 Ce 3.57
Pb 0.5000 0.5000 0.5000  8 Ce 3.41-3.45, 4 Pb 3.57
Pb 0.5000 0.1693 0.8307  8 Ce 3.39-3.42, 2 Pb 3.58, 2 Sn 3.61
Pb 0.5000 0.8307 0.1693  8 Ce 3.39-3.42, 2 Pb 3.58, 2 Sn 3.61
Pb 0.0000 0.3349 0.6650  8 Ce 3.43, 4 Pb 3.57-3.58
Pb 0.0000 0.6651 0.3350  8 Ce 3.43, 4 Pb 3.57-3.58
Sn 0.0000 0.0000 0.0000  8 Ce 3.37, 4 Pb 3.61

Calculated values
SG: Immm
Volume: 351.6 Å³/cell
Crystal system: orthorhombic
DOS(E_F): 3.364 states/eV per atom
Size of the total moment: 7.312 μB/cell

***

Relative energies with respect to the most stable structure, expressed in meV/atom: A) 113; B) 0.

***

A) Entry from Alexandria: a relaxed structure of Ce5Sn2Pb2 (GGA-PBE).

a b c (Å): 8.3821 8.4013 9.0171
angles (deg): 90.00 62.30 90.00
Last column: nearest neighbours and their distance in Å.
Sites, in units of the cell vectors:
Sn 0.1248 0.3732 0.0000  1 Sn 2.99, 4 Ce 3.18-3.32
Sn 0.6248 0.1268 0.0000  1 Sn 2.99, 4 Ce 3.18-3.32
Sn 0.8752 0.6268 0.0000  1 Sn 2.99, 4 Ce 3.18-3.32
Sn 0.3752 0.8732 0.0000  1 Sn 2.99, 4 Ce 3.18-3.32
Ce 0.3149 0.6760 0.7285  3 Sn 3.18-3.37, 3 Pb 3.24-3.33
Ce 0.6851 0.3240 0.2715  3 Sn 3.18-3.37, 3 Pb 3.24-3.33
Ce 0.0434 0.6760 0.2715  3 Sn 3.18-3.37, 3 Pb 3.24-3.33
Ce 0.9566 0.3240 0.7285  3 Sn 3.18-3.37, 3 Pb 3.24-3.33
Ce 0.5000 0.5000 0.0000  4 Sn 3.30-3.32, 2 Pb 3.35
Ce 0.1851 0.1760 0.2715  3 Sn 3.18-3.37, 3 Pb 3.24-3.33
Ce 0.8149 0.8240 0.7285  3 Sn 3.18-3.37, 3 Pb 3.24-3.33
Ce 0.4566 0.1760 0.7285  3 Sn 3.18-3.37, 3 Pb 3.24-3.33
Ce 0.0000 0.0000 0.0000  4 Sn 3.30-3.32, 2 Pb 3.35
Ce 0.5434 0.8240 0.2715  3 Sn 3.18-3.37, 3 Pb 3.24-3.33
Pb 0.7100 0.5000 0.5800  7 Ce 3.24-3.35
Pb 0.2100 0.0000 0.5800  7 Ce 3.24-3.35
Pb 0.7900 0.0000 0.4200  7 Ce 3.24-3.35
Pb 0.2900 0.5000 0.4200  7 Ce 3.24-3.35

Calculated values
SG: Cmce
Volume: 562.2 Å³/cell
Crystal system: orthorhombic
DOS(E_F): 3.195 states/eV per atom
Size of the total moment: 9.122 μB/cell

***

B) Entry from Alexandria: a relaxed structure of Ce5Sn2Pb2 (GGA-PBE).

a b c (Å): 8.4539 8.4271 8.9824
angles (deg): 117.97 90.00 90.00
Last column: nearest neighbours and their distance in Å.
Sites, in units of the cell vectors:
Ce 0.5000 0.5000 0.0000  2 Sn 3.27, 4 Pb 3.31-3.32
Ce 0.3254 0.9638 0.2829  3 Sn 3.21-3.29, 3 Pb 3.23-3.44
Ce 0.3254 0.6809 0.7171  3 Sn 3.21-3.29, 3 Pb 3.23-3.44
Ce 0.8254 0.8191 0.2829  3 Sn 3.21-3.29, 3 Pb 3.23-3.44
Ce 0.6746 0.0362 0.7171  3 Sn 3.21-3.29, 3 Pb 3.23-3.44
Ce 0.0000 0.0000 0.0000  2 Sn 3.27, 4 Pb 3.31-3.32
Ce 0.1746 0.4638 0.2829  3 Sn 3.21-3.29, 3 Pb 3.23-3.44
Ce 0.6746 0.3191 0.2829  3 Sn 3.21-3.29, 3 Pb 3.23-3.44
Ce 0.1746 0.1809 0.7171  3 Sn 3.21-3.29, 3 Pb 3.23-3.44
Ce 0.8254 0.5362 0.7171  3 Sn 3.21-3.29, 3 Pb 3.23-3.44
Sn 0.5000 0.2941 0.5882  7 Ce 3.21-3.29
Sn 0.5000 0.7059 0.4118  7 Ce 3.21-3.29
Sn 0.0000 0.7941 0.5882  7 Ce 3.21-3.29
Sn 0.0000 0.2059 0.4118  7 Ce 3.21-3.29
Pb 0.1305 0.6286 0.0000  1 Pb 3.09, 8 Ce 3.23-3.44
Pb 0.6305 0.8714 0.0000  1 Pb 3.09, 8 Ce 3.23-3.44
Pb 0.3695 0.1286 0.0000  1 Pb 3.09, 8 Ce 3.23-3.44
Pb 0.8695 0.3714 0.0000  1 Pb 3.09, 8 Ce 3.23-3.44

Calculated values
SG: Cmce
Volume: 565.2 Å³/cell
Crystal system: orthorhombic
DOS(E_F): 3.476 states/eV per atom
Size of the total moment: 9.421 μB/cell

***

Relative energies with respect to the most stable structure, expressed in meV/atom: A) 0; B) 25.